Entry 1:
Cu5Ni3 | PBE | relaxed

```
Cu5Ni3
1.0
6.956 0.000 0.000
-3.478 6.024 0.000
0.000 0.000 4.567
Cu Ni
10 6
direct
0.000 0.223 0.250
0.000 0.777 0.750
0.223 0.000 0.250
0.223 0.223 0.750
0.333 0.667 0.000
0.333 0.667 0.500
0.667 0.333 0.000
0.667 0.333 0.500
0.777 0.000 0.750
0.777 0.777 0.250
0.000 0.408 0.750
0.000 0.592 0.250
0.408 0.000 0.750
0.408 0.408 0.250
0.592 0.000 0.250
0.592 0.592 0.750
```

Mass density = 8570 kg/m3
E_form = 0.169 eV/atom
Electronic total energy = -72.9 eV for the cell shown


Entry 2:
Cu3Ni7 | PBE | relaxed

```
Cu3Ni7
1.0
6.390 -1.769 0.000
6.390 1.769 0.000
-0.966 0.000 4.931
Cu Ni
3 7
direct
0.000 0.000 0.000
0.200 0.200 0.599
0.800 0.800 0.401
0.000 0.000 0.500
0.200 0.200 0.097
0.400 0.400 0.200
0.402 0.402 0.702
0.598 0.598 0.298
0.600 0.600 0.800
0.800 0.800 0.903
```

Mass density = 8961 kg/m3
E_form = 0.038 eV/atom
Electronic total energy = -52.4 eV for the cell shown


Entry 3:
CuNi5 | PBE | relaxed

```
CuNi5
1.0
0.000 3.259 3.259
3.259 0.000 3.259
3.259 3.259 0.000
Cu Ni
1 5
direct
0.000 0.000 0.000
0.125 0.625 0.625
0.250 0.250 0.250
0.625 0.125 0.625
0.625 0.625 0.125
0.625 0.625 0.625
```

Mass density = 8562 kg/m3
E_form = 0.201 eV/atom
Electronic total energy = -31.8 eV for the cell shown


Entry 4:
CuNi3 | PBE | relaxed

```
CuNi3
1.0
-1.771 1.771 7.069
1.771 -1.771 7.069
1.771 1.771 -7.069
Cu Ni
2 6
direct
0.125 0.125 0.000
0.875 0.875 0.000
0.000 0.500 0.500
0.250 0.750 0.500
0.375 0.375 0.000
0.500 0.000 0.500
0.625 0.625 0.000
0.750 0.250 0.500
```

Mass density = 8970 kg/m3
E_form = 0.036 eV/atom
Electronic total energy = -42.6 eV for the cell shown


Entry 5:
Cu4Ni5 | PBE | relaxed

```
Cu4Ni5
1.0
-3.783 3.783 1.770
3.783 -3.783 1.770
3.783 3.783 -1.770
Cu Ni
4 5
direct
0.000 0.331 0.331
0.000 0.669 0.669
0.331 0.000 0.331
0.669 0.000 0.669
0.000 0.000 0.000
0.335 0.335 0.670
0.335 0.665 0.000
0.665 0.335 0.000
0.665 0.665 0.330
```

Mass density = 8975 kg/m3
E_form = 0.034 eV/atom
Electronic total energy = -45.0 eV for the cell shown


Entry 6:
Cu4Ni | PBE | relaxed

```
Cu4Ni
1.0
-2.655 2.655 2.655
2.655 -2.655 2.655
2.655 2.655 -2.655
Cu Ni
4 1
direct
0.000 0.000 0.500
0.000 0.500 0.000
0.500 0.000 0.000
0.500 0.500 0.500
0.000 0.000 0.000
```

Mass density = 6943 kg/m3
E_form = 0.566 eV/atom
Electronic total energy = -19.3 eV for the cell shown